1.
A plane-wave DFT calculation with PBE was carried out for a relaxed structure of La4CoPd2.

## Properties
total energy = -39.76 eV/f.u.
total magnetization = 0.0 μB per cell
symmetry = I4/mmm, No. 139
ρ = 6.8 g/cm3
density of states at the Fermi level = 7.175 states/eV per cell
ΔH_f (0 K) = -8.43 kcal/mol of atoms

a = 8.526 Å, b = 8.526 Å, c = 8.526 Å
α = 145.22°, β = 145.22°, γ = 50.00°
Element x y z (fractional)
La 0.000 0.500 0.500
La 0.186 0.186 0.000
La 0.500 0.000 0.500
La 0.814 0.814 0.000
Co 0.000 0.000 0.000
Pd 0.363 0.363 0.000
Pd 0.637 0.637 0.000



2.
A plane-wave DFT calculation with PBE was carried out for a relaxed structure of NpPaPdAu.

## Properties
total energy = -32.37 eV/f.u.
total magnetization = 5.0 μB per cell
symmetry = F-43m, No. 216
ρ = 16.0 g/cm3
density of states at the Fermi level = 4.767 states/eV per cell
ΔH_f (0 K) = -8.45 kcal/mol of atoms

a = 4.842 Å, b = 4.842 Å, c = 4.842 Å
α = 60.00°, β = 60.00°, γ = 60.00°
Element x y z (fractional)
Np 0.000 0.000 0.000
Pa 0.750 0.750 0.750
Pd 0.250 0.250 0.250
Au 0.500 0.500 0.500



3.
A plane-wave DFT calculation with PBE was carried out for a relaxed structure of Ta2BeAu.

## Properties
total energy = -30.33 eV/f.u.
total magnetization = 0.0 μB per cell
symmetry = P4mm, No. 99
ρ = 14.5 g/cm3
density of states at the Fermi level = 2.350 states/eV per cell
ΔH_f (0 K) = 2.16 kcal/mol of atoms

a = 3.338 Å, b = 3.338 Å, c = 5.854 Å
α = 90.00°, β = 90.00°, γ = 90.00°
Element x y z (fractional)
Ta 0.000 0.000 0.000
Ta 0.500 0.500 0.247
Be 0.500 0.500 0.777
Au 0.000 0.000 0.538



4.
A plane-wave DFT calculation with PBE was carried out for a relaxed structure of Ti2ZnAs2.

## Properties
total energy = -28.99 eV/f.u.
total magnetization = 0.0 μB per cell
symmetry = P4/mbm, No. 127
ρ = 6.2 g/cm3
density of states at the Fermi level = 5.000 states/eV per cell
excess energy over the best structure of this formula in the dataset = 4 meV per atom
ΔH_f (0 K) = -12.14 kcal/mol of atoms

a = 7.038 Å, b = 7.038 Å, c = 3.356 Å
α = 90.00°, β = 90.00°, γ = 90.00°
Element x y z (fractional)
Ti 0.140 0.360 0.000
Ti 0.360 0.860 0.000
Ti 0.640 0.140 0.000
Ti 0.860 0.640 0.000
Zn 0.000 0.000 0.500
Zn 0.500 0.500 0.500
As 0.152 0.652 0.500
As 0.348 0.152 0.500
As 0.652 0.848 0.500
As 0.848 0.348 0.500



5.
A plane-wave DFT calculation with PBE was carried out for a relaxed structure of CaMg2Os.

## Properties
total energy = -14.95 eV/f.u.
total magnetization = 0.4 μB per cell
symmetry = P4/mmm, No. 123
ρ = 5.7 g/cm3
density of states at the Fermi level = 2.921 states/eV per cell
ΔH_f (0 K) = 8.46 kcal/mol of atoms

a = 4.321 Å, b = 4.321 Å, c = 4.354 Å
α = 90.00°, β = 90.00°, γ = 90.00°
Element x y z (fractional)
Ca 0.000 0.000 0.000
Mg 0.000 0.500 0.500
Mg 0.500 0.000 0.500
Os 0.500 0.500 0.000



6.
A plane-wave DFT calculation with PBE was carried out for a relaxed structure of LaCr2Ru.

## Properties
total energy = -31.78 eV/f.u.
total magnetization = 0.0 μB per cell
symmetry = P4/mmm, No. 123
ρ = 7.6 g/cm3
density of states at the Fermi level = 2.887 states/eV per cell
excess energy over the best structure of this formula in the dataset = 106 meV per atom
ΔH_f (0 K) = 9.64 kcal/mol of atoms

a = 3.927 Å, b = 3.927 Å, c = 4.868 Å
α = 90.00°, β = 90.00°, γ = 90.00°
Element x y z (fractional)
La 0.000 0.000 0.000
Cr 0.000 0.500 0.500
Cr 0.500 0.000 0.500
Ru 0.500 0.500 0.000



7.
A plane-wave DFT calculation with PBE was carried out for a relaxed structure of BaTa2Pt.

## Properties
total energy = -28.67 eV/f.u.
total magnetization = 0.0 μB per cell
symmetry = F-43m, No. 216
ρ = 13.4 g/cm3
density of states at the Fermi level = 6.556 states/eV per cell
excess energy over the best structure of this formula in the dataset = 619 meV per atom
ΔH_f (0 K) = 17.31 kcal/mol of atoms

a = 4.958 Å, b = 4.958 Å, c = 4.958 Å
α = 60.00°, β = 60.00°, γ = 60.00°
Element x y z (fractional)
Ba 0.000 0.000 0.000
Ta 0.500 0.500 0.500
Ta 0.750 0.750 0.750
Pt 0.250 0.250 0.250



8.
A plane-wave DFT calculation with PBE was carried out for a relaxed structure of Er2NbP.

## Properties
total energy = -24.50 eV/f.u.
total magnetization = 1.0 μB per cell
symmetry = R-3m, No. 166
ρ = 7.6 g/cm3
density of states at the Fermi level = 4.006 states/eV per cell
ΔH_f (0 K) = 0.61 kcal/mol of atoms

a = 9.539 Å, b = 9.539 Å, c = 9.539 Å
α = 21.24°, β = 21.24°, γ = 21.24°
Element x y z (fractional)
Er 0.106 0.106 0.106
Er 0.894 0.894 0.894
Nb 0.000 0.000 0.000
P 0.500 0.500 0.500



9.
A plane-wave DFT calculation with PBE was carried out for a relaxed structure of BaBrCl2.

## Properties
total energy = -13.59 eV/f.u.
total magnetization = 1.0 μB per cell
E_form (uncorrected) = -1.57 eV per atom
symmetry = I4/mmm, No. 139
ρ = 4.1 g/cm3
density of states at the Fermi level = 2.767 states/eV per cell
excess energy over the best structure of this formula in the dataset = 129 meV per atom

a = 5.673 Å, b = 5.673 Å, c = 5.673 Å
α = 125.99°, β = 125.99°, γ = 79.91°
Element x y z (fractional)
Ba 0.000 0.000 0.000
Br 0.500 0.500 0.000
Cl 0.250 0.750 0.500
Cl 0.750 0.250 0.500



10.
A plane-wave DFT calculation with PBE was carried out for a relaxed structure of LuMgAgIr.

## Properties
total energy = -19.84 eV/f.u.
total magnetization = 0.0 μB per cell
symmetry = F-43m, No. 216
ρ = 11.1 g/cm3
density of states at the Fermi level = 1.532 states/eV per cell
ΔH_f (0 K) = -11.61 kcal/mol of atoms

a = 4.727 Å, b = 4.727 Å, c = 4.727 Å
α = 60.00°, β = 60.00°, γ = 60.00°
Element x y z (fractional)
Lu 0.000 0.000 0.000
Mg 0.500 0.500 0.500
Ag 0.250 0.250 0.250
Ir 0.750 0.750 0.750



11.
A plane-wave DFT calculation with PBE was carried out for a relaxed structure of DyY2Er.

## Properties
total energy = -21.99 eV/f.u.
total magnetization = 0.0 μB per cell
symmetry = R-3m, No. 166
ρ = 6.7 g/cm3
density of states at the Fermi level = 6.228 states/eV per cell
excess energy over the best structure of this formula in the dataset = 23 meV per atom
ΔH_f (0 K) = 0.58 kcal/mol of atoms

a = 11.748 Å, b = 11.748 Å, c = 11.748 Å
α = 17.38°, β = 17.38°, γ = 17.38°
Element x y z (fractional)
Dy 0.000 0.000 0.000
Y 0.250 0.250 0.250
Y 0.750 0.750 0.750
Er 0.500 0.500 0.500



12.
A plane-wave DFT calculation with PBE was carried out for a relaxed structure of TiCu2Pd2.

## Properties
total energy = -27.14 eV/f.u.
total magnetization = 0.0 μB per cell
symmetry = P4/mbm, No. 127
ρ = 8.7 g/cm3
density of states at the Fermi level = 6.492 states/eV per cell
excess energy over the best structure of this formula in the dataset = 234 meV per atom
ΔH_f (0 K) = -3.10 kcal/mol of atoms

a = 7.155 Å, b = 7.155 Å, c = 2.886 Å
α = 90.00°, β = 90.00°, γ = 90.00°
Element x y z (fractional)
Ti 0.000 0.000 0.000
Ti 0.500 0.500 0.000
Cu 0.155 0.345 0.500
Cu 0.345 0.845 0.500
Cu 0.655 0.155 0.500
Cu 0.845 0.655 0.500
Pd 0.142 0.642 0.000
Pd 0.358 0.142 0.000
Pd 0.642 0.858 0.000
Pd 0.858 0.358 0.000



13.
A plane-wave DFT calculation with PBE was carried out for a relaxed structure of AcSmSi2.

## Properties
total energy = -22.22 eV/f.u.
total magnetization = 0.0 μB per cell
E_form (uncorrected) = -0.64 eV per atom
symmetry = Amm2, No. 38
ρ = 6.9 g/cm3
density of states at the Fermi level = 3.582 states/eV per cell
excess energy over the best structure of this formula in the dataset = 0 meV per atom

a = 4.003 Å, b = 6.132 Å, c = 6.132 Å
α = 43.68°, β = 90.00°, γ = 90.00°
Element x y z (fractional)
Ac 0.000 0.000 0.000
Sm 0.500 0.721 0.721
Si 0.000 0.282 0.282
Si 0.500 0.417 0.417



14.
A plane-wave DFT calculation with PBE was carried out for a relaxed structure of Ga3TeP.

## Properties
total energy = -17.15 eV/f.u.
total magnetization = 0.0 μB per cell
E_form (uncorrected) = 0.10 eV per atom
symmetry = Pm-3m, No. 221
ρ = 5.1 g/cm3
density of states at the Fermi level = 1.545 states/eV per cell
excess energy over the best structure of this formula in the dataset = 0 meV per atom

a = 4.932 Å, b = 4.932 Å, c = 4.932 Å
α = 90.00°, β = 90.00°, γ = 90.00°
Element x y z (fractional)
Ga 0.000 0.000 0.500
Ga 0.000 0.500 0.000
Ga 0.500 0.000 0.000
Te 0.500 0.500 0.500
P 0.000 0.000 0.000



15.
A plane-wave DFT calculation with PBE was carried out for a relaxed structure of Ta2AuCl.

## Properties
total energy = -28.35 eV/f.u.
total magnetization = 0.0 μB per cell
E_form (uncorrected) = 0.12 eV per atom
symmetry = R-3m, No. 166
ρ = 14.2 g/cm3
density of states at the Fermi level = 4.638 states/eV per cell
excess energy over the best structure of this formula in the dataset = 267 meV per atom

a = 9.212 Å, b = 9.212 Å, c = 9.212 Å
α = 18.62°, β = 18.62°, γ = 18.62°
Element x y z (fractional)
Ta 0.247 0.247 0.247
Ta 0.753 0.753 0.753
Au 0.000 0.000 0.000
Cl 0.500 0.500 0.500



16.
A plane-wave DFT calculation with PBE was carried out for a relaxed structure of Ca3Tb3CdSe8.

## Properties
total energy = -74.49 eV/f.u.
total magnetization = 0.0 μB per cell
E_form (uncorrected) = -1.72 eV per atom
symmetry = R-3m, No. 166
ρ = 5.5 g/cm3
density of states at the Fermi level = 3.970 states/eV per cell

a = 8.321 Å, b = 8.321 Å, c = 8.321 Å
α = 59.34°, β = 59.34°, γ = 59.34°
Element x y z (fractional)
Ca 0.000 0.500 0.500
Ca 0.500 0.000 0.500
Ca 0.500 0.500 0.000
Tb 0.000 0.000 0.500
Tb 0.000 0.500 0.000
Tb 0.500 0.000 0.000
Cd 0.500 0.500 0.500
Se 0.246 0.748 0.748
Se 0.248 0.248 0.248
Se 0.252 0.252 0.754
Se 0.252 0.754 0.252
Se 0.748 0.246 0.748
Se 0.748 0.748 0.246
Se 0.752 0.752 0.752
Se 0.754 0.252 0.252



17.
A plane-wave DFT calculation with PBE was carried out for a relaxed structure of Tb3TmSc.

## Properties
total energy = -24.60 eV/f.u.
total magnetization = 0.0 μB per cell
symmetry = P2_1/m, No. 11
ρ = 7.6 g/cm3
density of states at the Fermi level = 16.150 states/eV per cell
excess energy over the best structure of this formula in the dataset = 0 meV per atom
ΔH_f (0 K) = 0.42 kcal/mol of atoms

a = 6.156 Å, b = 5.529 Å, c = 9.426 Å
α = 90.00°, β = 109.04°, γ = 90.00°
Element x y z (fractional)
Tb 0.032 0.250 0.399
Tb 0.167 0.750 0.998
Tb 0.440 0.250 0.199
Tb 0.560 0.750 0.801
Tb 0.833 0.250 0.002
Tb 0.968 0.750 0.601
Tm 0.367 0.750 0.397
Tm 0.633 0.250 0.603
Sc 0.231 0.250 0.798
Sc 0.769 0.750 0.202



18.
A plane-wave DFT calculation with PBE was carried out for a relaxed structure of LiPm4Pa3N8.

## Properties
total energy = -139.22 eV/f.u.
total magnetization = 0.0 μB per cell
E_form (uncorrected) = -1.45 eV per atom
symmetry = R-3m, No. 166
ρ = 9.2 g/cm3
density of states at the Fermi level = 4.810 states/eV per cell

a = 7.085 Å, b = 7.085 Å, c = 7.085 Å
α = 59.73°, β = 59.73°, γ = 59.73°
Element x y z (fractional)
Li 0.000 0.000 0.000
Pm 0.000 0.000 0.500
Pm 0.000 0.500 0.000
Pm 0.500 0.000 0.000
Pm 0.500 0.500 0.500
Pa 0.000 0.500 0.500
Pa 0.500 0.000 0.500
Pa 0.500 0.500 0.000
N 0.253 0.253 0.719
N 0.253 0.719 0.253
N 0.260 0.260 0.260
N 0.281 0.747 0.747
N 0.719 0.253 0.253
N 0.740 0.740 0.740
N 0.747 0.281 0.747
N 0.747 0.747 0.281



19.
A plane-wave DFT calculation with PBE was carried out for a relaxed structure of B5C7.

## Properties
total energy = -93.53 eV/f.u.
total magnetization = 0.0 μB per cell
symmetry = Pm, No. 6
ρ = 2.9 g/cm3
density of states at the Fermi level = 2.755 states/eV per cell
excess energy over the best structure of this formula in the dataset = 110 meV per atom
ΔH_f (0 K) = 8.50 kcal/mol of atoms

a = 4.730 Å, b = 2.598 Å, c = 6.417 Å
α = 90.00°, β = 96.15°, γ = 90.00°
Element x y z (fractional)
B 0.000 0.000 0.000
B 0.095 0.000 0.734
B 0.393 0.000 0.083
B 0.567 0.500 0.760
B 0.733 0.000 0.434
C 0.233 0.500 0.416
C 0.254 0.500 0.654
C 0.382 0.000 0.341
C 0.560 0.500 0.012
C 0.757 0.000 0.704
C 0.861 0.500 0.106
C 0.911 0.500 0.337



20.
A plane-wave DFT calculation with PBE was carried out for a relaxed structure of Er6MgCo2.

## Properties
total energy = -44.66 eV/f.u.
total magnetization = 0.0 μB per cell
symmetry = Immm, No. 71
ρ = 8.7 g/cm3
density of states at the Fermi level = 21.809 states/eV per cell
excess energy over the best structure of this formula in the dataset = 0 meV per atom
ΔH_f (0 K) = -3.78 kcal/mol of atoms

a = 8.306 Å, b = 8.306 Å, c = 8.306 Å
α = 112.40°, β = 109.71°, γ = 106.36°
Element x y z (fractional)
Er 0.032 0.236 0.795
Er 0.184 0.285 0.468
Er 0.184 0.715 0.899
Er 0.321 0.007 0.687
Er 0.321 0.634 0.313
Er 0.441 0.236 0.205
Er 0.559 0.764 0.795
Er 0.679 0.366 0.687
Er 0.679 0.993 0.313
Er 0.816 0.285 0.101
Er 0.816 0.715 0.532
Er 0.968 0.764 0.205
Mg 0.000 0.000 0.000
Mg 0.500 0.500 0.000
Co 0.114 0.614 0.500
Co 0.330 0.000 0.330
Co 0.670 0.000 0.670
Co 0.886 0.386 0.500